[1]
ScInRuRh | the Alexandria database | PBE | relaxed; calculated formation energy = -0.5808 eV/atom; SG = Pmmm (47); M_tot = 0.00 μB per formula unit
1.0
-2.727 -0.097 1.871
2.344 -1.884 3.318
0.973 4.080 1.629
Rh Ru Sc In
1 1 1 1
Direct
0.500 0.000 0.500
0.500 0.500 0.000
0.000 0.000 0.000
0.000 0.500 0.500

=====

[2]
InSiRuRh | the Alexandria database | PBE | relaxed; E_tot = -25.9 eV per cell; SG = F-43m (216); M_tot = 0.00 μB per formula unit
1.0
-0.539 2.859 -3.284
-3.629 2.458 -0.195
0.225 4.310 0.785
Si In Ru Rh
1 1 1 1
Direct
0.250 0.250 0.250
0.750 0.750 0.750
0.500 0.500 0.500
0.000 0.000 0.000

=====

[3]
SmInRuRh | the Alexandria database | PBE | relaxed; calculated formation energy = -0.3659 eV/atom; SG = F-43m (216); M_tot = 0.00 μB per formula unit
1.0
-0.106 -4.688 -0.702
0.893 -2.956 3.598
-3.504 -2.597 1.860
Ru Rh In Sm
1 1 1 1
Direct
0.750 0.750 0.750
0.250 0.250 0.250
0.000 0.000 0.000
0.500 0.500 0.500

=====

[4]
SrIn2RuRh | the Alexandria database | PBE | relaxed; calculated formation energy = 1.8016 eV/atom; SG = P4/mmm (123); M_tot = 2.83 μB per formula unit
1.0
-1.334 3.478 -4.527
-4.422 0.730 1.864
2.016 4.636 2.967
In Sr Rh Ru
2 1 1 1
Direct
0.000 0.000 0.500
0.500 0.000 0.000
0.000 0.000 0.000
0.000 0.500 0.000
0.500 0.500 0.500

=====

[5]
TaInRuRh | the Alexandria database | PBE | relaxed; calculated formation energy = -0.3314 eV/atom; SG = F-43m (216); M_tot = 0.00 μB per formula unit
1.0
-0.582 4.026 1.982
1.098 0.558 4.354
3.594 2.509 1.123
Ta Ru In Rh
1 1 1 1
Direct
0.750 0.750 0.750
0.000 0.000 0.000
0.250 0.250 0.250
0.500 0.500 0.500

=====

[6]
Tb5In2Ru2Rh | the Alexandria database | PBE | relaxed; calculated formation energy = -0.4155 eV/atom; SG = P4/mbm (127); M_tot = 0.00 μB per formula unit
1.0
3.508 0.000 0.000
0.000 11.687 0.000
0.000 0.000 11.687
In Rh Ru Tb
4 2 4 10
Direct
0.000 0.318 0.818
0.000 0.818 0.682
0.000 0.182 0.318
0.000 0.682 0.182
0.000 0.000 0.000
0.000 0.500 0.500
0.000 0.363 0.137
0.000 0.137 0.637
0.000 0.863 0.363
0.000 0.637 0.863
0.500 0.064 0.804
0.500 0.000 0.500
0.500 0.804 0.936
0.500 0.436 0.304
0.500 0.696 0.436
0.500 0.936 0.196
0.500 0.304 0.564
0.500 0.500 0.000
0.500 0.196 0.064
0.500 0.564 0.696

=====

[7]
Tb4InRu2Rh | the Alexandria database | PBE | relaxed; calculated formation energy = -0.4657 eV/atom; SG = R-3m (166); M_tot = 0.00 μB per formula unit
1.0
-0.765 -1.525 4.644
3.688 -2.080 2.560
3.189 6.145 5.179
Tb Rh Ru In
4 1 2 1
Direct
0.382 0.382 0.854
0.129 0.129 0.612
0.618 0.618 0.146
0.871 0.871 0.388
0.500 0.500 0.500
0.749 0.749 0.754
0.251 0.251 0.246
0.000 0.000 0.000

=====

[8]
Tb4InRuRh2 | the Alexandria database | PBE | relaxed; calculated formation energy = -0.5806 eV/atom; SG = R-3m (166); M_tot = 0.00 μB per formula unit
1.0
-1.590 -3.141 -3.497
2.893 -3.757 -1.462
-2.860 -7.094 4.153
Tb Rh In Ru
4 2 1 1
Direct
0.384 0.384 0.849
0.130 0.130 0.609
0.616 0.616 0.151
0.870 0.870 0.391
0.750 0.750 0.750
0.250 0.250 0.250
0.000 0.000 0.000
0.500 0.500 0.500

=====

[9]
Tm3In3RuRh2 | the Alexandria database | PBE | relaxed; calculated formation energy = -0.6348 eV/atom; SG = P-62m (189); M_tot = 0.00 μB per formula unit
1.0
3.781 0.000 0.000
0.000 7.572 0.000
0.000 -3.786 6.558
Ru Rh Tm In
1 2 3 3
Direct
0.000 0.000 0.000
0.500 0.333 0.667
0.500 0.667 0.333
0.000 0.600 0.600
0.000 0.400 0.000
0.000 0.000 0.400
0.500 0.736 0.000
0.500 0.264 0.264
0.500 0.000 0.736

=====

[10]
TmInRuRh | the Alexandria database | PBE | relaxed; calculated formation energy = -0.5129 eV/atom; energy above the lowest structure with this stoichiometry = 0.034 eV/atom; SG = F-43m (216); M_tot = 0.00 μB per formula unit
1.0
4.657 0.000 0.000
2.328 4.033 0.000
2.328 1.344 3.802
Tm Rh Ru In
1 1 1 1
Direct
0.500 0.500 0.500
0.250 0.250 0.250
0.750 0.750 0.750
0.000 0.000 0.000

=====

[11]
Tm5In2RuRh2 | the Alexandria database | PBE | relaxed; calculated formation energy = -0.5952 eV/atom; SG = P4/mbm (127); M_tot = 0.00 μB per formula unit
1.0
3.452 0.000 0.000
0.000 11.524 0.000
0.000 0.000 11.524
Tm In Rh Ru
10 4 4 2
Direct
0.500 0.064 0.806
0.500 0.564 0.694
0.500 0.436 0.306
0.500 0.694 0.436
0.500 0.000 0.500
0.500 0.936 0.194
0.500 0.806 0.936
0.500 0.194 0.064
0.500 0.500 0.000
0.500 0.306 0.564
0.000 0.679 0.179
0.000 0.321 0.821
0.000 0.821 0.679
0.000 0.179 0.321
0.000 0.635 0.865
0.000 0.865 0.365
0.000 0.365 0.135
0.000 0.135 0.635
0.000 0.000 0.000
0.000 0.500 0.500

=====

[12]
TmInRuRh | the Alexandria database | PBE | relaxed; calculated formation energy = -0.5468 eV/atom; energy above the lowest structure with this stoichiometry = 0.000 eV/atom; SG = Pmmm (47); M_tot = 0.00 μB per formula unit
1.0
3.418 0.000 0.000
0.000 4.578 0.000
0.000 0.000 4.540
Rh In Tm Ru
1 1 1 1
Direct
0.000 0.500 0.500
0.500 0.000 0.500
0.500 0.500 0.000
0.000 0.000 0.000